This record from Alexandria describes a geometry-optimized PmErTmTh structure. The functional is PBE.

Cell: 5.663 5.663 5.663 Å, 60.00 60.00 60.00°
Sites, in units of the cell vectors:
Pm 0.000 0.000 0.000
Er 0.750 0.750 0.750
Tm 0.250 0.250 0.250
Th 0.500 0.500 0.500

Calculated values
Magnetic moment = 0.00 Bohr magnetons per cell
DOS at the Fermi energy = 8.293 states/eV/f.u.
E = -5.18 eV per atom
Distance to the lowest polymorph of the same formula = 109 meV per atom
Crystal system = cubic
Energy of formation from the pure elements = 47 kJ/mol of formula units